[1]
Sc2Zn16Tc: relaxed, PBE-GGA.

a = 8.9034 Å, b = 8.9034 Å, c = 12.9659 Å
α = 90.00°, β = 90.00°, γ = 120.00°
Space group R3m (No. 160, hexagonal axes)
Asymmetric unit:
Sc  0.0000  0.0000  0.0000 (multiplicity 3)
Sc  0.0000  0.0000  0.3527 (multiplicity 3)
Zn  0.0000  0.0000  0.7675 (multiplicity 3)
Zn  0.0018  0.5009  0.1597 (multiplicity 9)
Zn  0.0425  0.3750  0.3238 (multiplicity 18)
Zn  0.1670  0.3341  0.1355 (multiplicity 9)
Zn  0.1798  0.3595  0.8444 (multiplicity 9)
Tc  0.0000  0.0000  0.5625 (multiplicity 3)

Summary:
total magnetization: 0.000 μB per atom
crystal system: trigonal

---

[2]
Sc2Zn2Tc: relaxed, PBE-GGA.

a = 6.7886 Å, b = 6.7886 Å, c = 3.8759 Å
α = 90.00°, β = 90.00°, γ = 90.00°
Space group P4/mbm (No. 127)
Asymmetric unit:
Sc  0.1863  0.3137  0.0000 (multiplicity 4)
Zn  0.1257  0.6257  0.5000 (multiplicity 4)
Tc  0.0000  0.0000  0.5000 (multiplicity 2)

Summary:
total magnetization: 0.000 μB per atom
crystal system: tetragonal

---

[3]
ScZn4Tc: relaxed, PBE-GGA.

a = 7.1118 Å, b = 7.1118 Å, c = 7.1118 Å
α = 90.00°, β = 90.00°, γ = 90.00°
Space group F-43m (No. 216)
Asymmetric unit:
Sc  0.0000  0.0000  0.0000 (multiplicity 4)
Zn  0.1242  0.1242  0.3758 (multiplicity 16)
Tc  0.2500  0.2500  0.7500 (multiplicity 4)

Summary:
total magnetization: 0.000 μB per atom
crystal system: cubic

---

[4]
ScZnTc2: relaxed, PBE-GGA.

a = 5.4500 Å, b = 8.5082 Å, c = 2.7209 Å
α = 90.00°, β = 90.00°, γ = 90.00°
Space group Cmmm (No. 65)
Asymmetric unit:
Sc  0.0000  0.0000  0.0000 (multiplicity 2)
Zn  0.0000  0.5000  0.0000 (multiplicity 2)
Tc  0.2500  0.2500  0.5000 (multiplicity 4)

Summary:
total magnetization: 0.000 μB per atom
crystal system: orthorhombic

---

Short version: ΔE_f = -0.128; -0.094; -0.186; 0.147 eV/atom, in the order given.
Short version: DOS(E_F) = 20.62; 10.61; 23.18; 9.76 states/eV/cell, in the order given.